{
  "formula": "La6TbNdTh2",
  "functional": "PBE",
  "state": "relaxed",
  "cell": [[4.559, -7.518, 0.000], [4.559, 7.518, 0.000], [-2.755, 0.000, 10.385]],
  "species": ["La", "La", "La", "La", "La", "La", "La", "La", "La", "La", "La", "La", "Tb", "Tb", "Nd", "Nd", "Th", "Th", "Th", "Th"],
  "frac_coords": [[0.011, 0.564, 0.168], [0.106, 0.741, 0.544], [0.259, 0.894, 0.956], [0.313, 0.508, 0.383], [0.436, 0.989, 0.332], [0.492, 0.687, 0.117], [0.508, 0.313, 0.883], [0.564, 0.011, 0.668], [0.687, 0.492, 0.617], [0.741, 0.106, 0.044], [0.894, 0.259, 0.456], [0.989, 0.436, 0.832], [0.402, 0.598, 0.750], [0.598, 0.402, 0.250], [0.008, 0.992, 0.250], [0.992, 0.008, 0.750], [0.182, 0.262, 0.045], [0.262, 0.182, 0.545], [0.738, 0.818, 0.455], [0.818, 0.738, 0.955]],
  "sg": "C2/c (15)",
  "e_form_mev_per_atom": 133,
  "energy_ry_per_atom": -0.386,
  "n_ef_per_ev_fu": 15.885
}

***

{
  "formula": "LaTb6Nd3Th2",
  "functional": "PBE",
  "state": "relaxed",
  "cell": [[3.138, -5.434, 0.000], [3.138, 5.434, 0.000], [-2.095, 0.000, 11.635]],
  "species": ["La", "Tb", "Tb", "Tb", "Tb", "Tb", "Tb", "Nd", "Nd", "Nd", "Th", "Th"],
  "frac_coords": [[0.000, 0.000, 0.000], [0.082, 0.421, 0.246], [0.257, 0.257, 0.754], [0.421, 0.082, 0.246], [0.579, 0.918, 0.754], [0.743, 0.743, 0.246], [0.918, 0.579, 0.754], [0.166, 0.834, 0.500], [0.500, 0.500, 0.500], [0.834, 0.166, 0.500], [0.333, 0.667, 0.000], [0.667, 0.333, 0.000]],
  "sg": "C2/m (12)",
  "e_form_mev_per_atom": 22,
  "energy_ry_per_atom": -0.377,
  "n_ef_per_ev_fu": 16.165
}

***

{
  "formula": "LaTbNdTh2",
  "functional": "PBE",
  "state": "relaxed",
  "cell": [[3.374, -7.929, 0.000], [3.374, 7.929, 0.000], [0.000, 0.000, 6.764]],
  "species": ["La", "La", "Tb", "Tb", "Nd", "Nd", "Th", "Th", "Th", "Th"],
  "frac_coords": [[0.235, 0.765, 0.750], [0.765, 0.235, 0.250], [0.151, 0.849, 0.250], [0.849, 0.151, 0.750], [0.349, 0.651, 0.250], [0.651, 0.349, 0.750], [0.247, 0.247, 0.000], [0.247, 0.247, 0.500], [0.753, 0.753, 0.000], [0.753, 0.753, 0.500]],
  "sg": "Cmcm (63)",
  "e_form_mev_per_atom": 348,
  "energy_ry_per_atom": -0.403,
  "n_ef_per_ev_fu": 8.262
}

***

{
  "formula": "La2TbNdTl2",
  "functional": "PBE",
  "state": "relaxed",
  "cell": [[5.209, 0.000, 0.000], [0.000, 10.386, 0.000], [0.000, 0.000, 6.989]],
  "species": ["La", "La", "La", "La", "Tb", "Tb", "Nd", "Nd", "Tl", "Tl", "Tl", "Tl"],
  "frac_coords": [[0.000, 0.061, 0.000], [0.000, 0.939, 0.500], [0.500, 0.176, 0.227], [0.500, 0.824, 0.727], [0.000, 0.306, 0.586], [0.000, 0.694, 0.086], [0.500, 0.456, 0.872], [0.500, 0.544, 0.372], [0.000, 0.385, 0.136], [0.000, 0.615, 0.636], [0.500, 0.146, 0.710], [0.500, 0.854, 0.210]],
  "sg": "Pmc2_1 (26)",
  "e_form_mev_per_atom": -289,
  "energy_ry_per_atom": -0.315,
  "n_ef_per_ev_fu": 6.833
}

***

{
  "formula": "La2TbNd7Tl2",
  "functional": "PBE",
  "state": "relaxed",
  "cell": [[3.476, -3.454, 0.000], [3.476, 3.454, 0.000], [-0.850, 0.000, 16.980]],
  "species": ["La", "La", "Tb", "Nd", "Nd", "Nd", "Nd", "Nd", "Nd", "Nd", "Tl", "Tl"],
  "frac_coords": [[0.061, 0.061, 0.332], [0.939, 0.939, 0.668], [0.500, 0.500, 0.000], [0.000, 0.000, 0.000], [0.021, 0.517, 0.161], [0.268, 0.268, 0.524], [0.483, 0.979, 0.839], [0.517, 0.021, 0.161], [0.732, 0.732, 0.476], [0.979, 0.483, 0.839], [0.458, 0.458, 0.699], [0.542, 0.542, 0.301]],
  "sg": "C2/m (12)",
  "e_form_mev_per_atom": -20,
  "energy_ry_per_atom": -0.324,
  "n_ef_per_ev_fu": 18.243
}

***

{
  "formula": "LaTb2NdTl4",
  "functional": "PBE",
  "state": "relaxed",
  "cell": [[2.742, 1.583, 8.973], [-2.742, 1.583, 8.973], [0.000, -3.166, 8.973]],
  "species": ["La", "Tb", "Tb", "Nd", "Tl", "Tl", "Tl", "Tl"],
  "frac_coords": [[0.000, 0.000, 0.000], [0.250, 0.250, 0.250], [0.750, 0.750, 0.750], [0.500, 0.500, 0.500], [0.126, 0.126, 0.126], [0.376, 0.376, 0.376], [0.624, 0.624, 0.624], [0.874, 0.874, 0.874]],
  "sg": "R-3m (166)",
  "e_form_mev_per_atom": -377,
  "energy_ry_per_atom": -0.289,
  "n_ef_per_ev_fu": 6.752
}

***

{
  "formula": "LaTbNdTl",
  "functional": "PBE",
  "state": "relaxed",
  "cell": [[0.000, 3.987, 3.987], [3.987, 0.000, 3.987], [3.987, 3.987, 0.000]],
  "species": ["La", "Tb", "Nd", "Tl"],
  "frac_coords": [[0.000, 0.000, 0.000], [0.250, 0.250, 0.250], [0.500, 0.500, 0.500], [0.750, 0.750, 0.750]],
  "sg": "F-43m (216)",
  "e_form_mev_per_atom": -81,
  "energy_ry_per_atom": -0.313,
  "polymorph_energy_kj_per_mol_fu": 31,
  "n_ef_per_ev_fu": 5.869
}

***

{
  "formula": "LaTbNdTl",
  "functional": "PBE",
  "state": "relaxed",
  "cell": [[-2.451, 2.451, 5.163], [2.451, -2.451, 5.163], [2.451, 2.451, -5.163]],
  "species": ["La", "Tb", "Nd", "Tl"],
  "frac_coords": [[0.000, 0.000, 0.000], [0.250, 0.750, 0.500], [0.750, 0.250, 0.500], [0.500, 0.500, 0.000]],
  "sg": "I-4m2 (119)",
  "e_form_mev_per_atom": -162,
  "energy_ry_per_atom": -0.319,
  "polymorph_energy_kj_per_mol_fu": 0,
  "n_ef_per_ev_fu": 6.238
}